# 1
{
  "formula": "PmNd3Dy2",
  "functional": "PBE",
  "state": "optimized geometry",
  "lattice": [[0.000, 5.133, 10.893], [3.628, 0.000, 10.893], [3.628, 5.133, 0.000]],
  "species": ["Pm", "Pm", "Nd", "Nd", "Nd", "Nd", "Nd", "Nd", "Dy", "Dy", "Dy", "Dy"],
  "fractional_positions": [[0.125, 0.125, 0.125], [0.875, 0.875, 0.875], [0.042, 0.042, 0.708], [0.292, 0.292, 0.958], [0.375, 0.375, 0.375], [0.625, 0.625, 0.625], [0.708, 0.708, 0.042], [0.958, 0.958, 0.292], [0.209, 0.209, 0.541], [0.459, 0.459, 0.791], [0.541, 0.541, 0.209], [0.791, 0.791, 0.459]],
  "spacegroup": "Fddd, No. 70",
  "magnetic_moment_mub_per_fu": 0.00,
  "e_form_kj_per_mol_atoms": 1,
  "relative_energy_ev_per_fu": 0.00
}

***

# 2
{
  "formula": "HfMnP2",
  "functional": "PBE",
  "state": "optimized geometry",
  "lattice": [[4.941, 0.000, 0.000], [0.000, 4.941, 0.000], [0.000, 0.000, 12.427]],
  "species": ["Hf", "Hf", "Hf", "Hf", "Mn", "Mn", "Mn", "Mn", "P", "P", "P", "P", "P", "P", "P", "P"],
  "fractional_positions": [[0.000, 0.000, 0.000], [0.000, 0.500, 0.250], [0.500, 0.000, 0.750], [0.500, 0.500, 0.500], [0.000, 0.000, 0.500], [0.000, 0.500, 0.750], [0.500, 0.000, 0.250], [0.500, 0.500, 0.000], [0.178, 0.250, 0.625], [0.250, 0.678, 0.875], [0.250, 0.822, 0.375], [0.322, 0.250, 0.125], [0.678, 0.750, 0.125], [0.750, 0.178, 0.375], [0.750, 0.322, 0.875], [0.822, 0.750, 0.625]],
  "spacegroup": "I-42d, No. 122",
  "magnetic_moment_mub_per_fu": 0.00,
  "e_form_kj_per_mol_atoms": -22,
  "relative_energy_ev_per_fu": 1.72
}

***

# 3
{
  "formula": "CeEr2Tc2C4",
  "functional": "PBE",
  "state": "optimized geometry",
  "lattice": [[6.842, -1.656, 0.000], [6.842, 1.656, 0.000], [-2.122, 0.000, 5.520]],
  "species": ["Ce", "Er", "Er", "Tc", "Tc", "C", "C", "C", "C"],
  "fractional_positions": [[0.000, 0.000, 0.000], [0.144, 0.144, 0.530], [0.856, 0.856, 0.470], [0.329, 0.329, 0.015], [0.671, 0.671, 0.985], [0.229, 0.229, 0.225], [0.487, 0.487, 0.372], [0.513, 0.513, 0.628], [0.771, 0.771, 0.775]],
  "spacegroup": "C2/m, No. 12",
  "magnetic_moment_mub_per_fu": 0.00,
  "e_form_kj_per_mol_atoms": -11
}

***

# 4
{
  "formula": "HoHfH",
  "functional": "PBE",
  "state": "optimized geometry",
  "lattice": [[10.857, 0.000, 0.000], [0.000, 3.203, 0.000], [0.000, 0.000, 6.419]],
  "species": ["Ho", "Ho", "Ho", "Ho", "Hf", "Hf", "Hf", "Hf", "H", "H", "H", "H"],
  "fractional_positions": [[0.123, 0.250, 0.126], [0.377, 0.750, 0.626], [0.623, 0.250, 0.374], [0.877, 0.750, 0.874], [0.090, 0.250, 0.626], [0.410, 0.750, 0.126], [0.590, 0.250, 0.874], [0.910, 0.750, 0.374], [0.085, 0.750, 0.857], [0.415, 0.250, 0.357], [0.585, 0.750, 0.643], [0.915, 0.250, 0.143]],
  "spacegroup": "Pnma, No. 62",
  "magnetic_moment_mub_per_fu": 0.00,
  "relative_energy_ev_per_fu": 0.21
}